Density functional theory data (GGA+U) for Tl2VZnF6 after structural relaxation.

a b c (Å): 5.9916 5.9939 8.4693
angles (deg): 90.00 90.00 90.00
With the nearest neighbours (Å) after each atom.
Sites, in units of the cell vectors:
V  0.0000  0.7500  0.5000  6 F 2.15
F  0.2537  0.4962  0.5000  1 Zn 2.09, 1 V 2.15
F  0.7463  0.4962  0.5000  1 Zn 2.09, 1 V 2.15
F  0.7537  0.9962  0.0000  1 Zn 2.09, 1 V 2.15
F  0.0000  0.7500  0.7534  1 Zn 2.09, 1 V 2.15
F  0.0000  0.7500  0.2466  1 Zn 2.09, 1 V 2.15
Tl  0.0000  0.2500  0.2500  12 F 3.00
Zn  0.5000  0.2500  0.5000  6 F 2.09
Tl  0.5000  0.7500  0.2500  12 F 3.00
Tl  0.5000  0.7500  0.7500  12 F 3.00
F  0.2463  0.5038  0.0000  1 Zn 2.09, 1 V 2.15
Tl  0.0000  0.2500  0.7500  12 F 3.00
F  0.7463  0.0038  0.5000  1 Zn 2.09, 1 V 2.15
V  0.5000  0.2500  0.0000  6 F 2.15
F  0.2537  0.0038  0.5000  1 Zn 2.09, 1 V 2.15
F  0.2463  0.9962  0.0000  1 Zn 2.09, 1 V 2.15
F  0.7537  0.5038  0.0000  1 Zn 2.09, 1 V 2.15
Zn  0.0000  0.7500  0.0000  6 F 2.09
F  0.5000  0.2500  0.7466  1 Zn 2.09, 1 V 2.15
F  0.5000  0.2500  0.2534  1 Zn 2.09, 1 V 2.15

Properties
* total energy: -93.88 eV for the cell shown